Entry 1:
The following is a GGA-PBE calculation of Th4PaTe5 after structural relaxation, from Alexandria via LeMat-Bulk.

Computed properties:
- ΔE_f (raw): -0.988 eV/atom

Lattice parameters (Å, degrees): 3.835 3.835 19.159 90.00 90.00 90.00
Space group P4/mmm (No. 123)
Unique sites:
Th (0.000, 0.000, 0.101) x2
Th (0.000, 0.000, 0.302) x2
Pa (0.000, 0.000, 0.500) x1
Te (0.500, 0.500, 0.000) x1
Te (0.500, 0.500, 0.201) x2
Te (0.500, 0.500, 0.404) x2

=====

Entry 2:
The following is a GGA-PBE calculation of PrNdSmEr after structural relaxation, from Alexandria via LeMat-Bulk.

Computed properties:
- Relative energy among the computed polymorphs: 106 meV/atom
- Formation energy from the elements: 0.5 eV/f.u.

Lattice parameters (Å, degrees): 8.166 8.166 8.166 90.00 90.00 90.00
Space group F-43m (No. 216)
Unique sites:
Pr (0.000, 0.000, 0.000) x4
Nd (0.000, 0.000, 0.500) x4
Sm (0.250, 0.250, 0.750) x4
Er (0.250, 0.250, 0.250) x4

=====

Entry 3:
The following is a GGA-PBE calculation of Ac2TbSmHo after structural relaxation, from Alexandria via LeMat-Bulk.

Computed properties:
- Formation energy from the elements: 1.4 eV/f.u.

Lattice parameters (Å, degrees): 6.422 8.976 6.714 90.00 90.00 90.00
Space group Pmma (No. 51)
Unique sites:
Ac (0.250, 0.203, 0.210) x4
Tb (0.250, 0.000, 0.681) x2
Sm (0.250, 0.500, 0.918) x2
Ho (0.000, 0.500, 0.500) x2

=====

Entry 4:
The following is a GGA-PBE calculation of TcAu2 after structural relaxation, from Alexandria via LeMat-Bulk.

Computed properties:
- Relative energy among the computed polymorphs: 292 meV/atom
- Formation energy from the elements: 1.7 eV/f.u.

Lattice parameters (Å, degrees): 4.6707 4.6707 5.5984 90.00 90.00 120.00
Space group P6_3/mmc (No. 194)
Unique sites:
Tc (0.3333, 0.6667, 0.2500) x2
Au (0.0000, 0.0000, 0.0000) x2
Au (0.3333, 0.6667, 0.7500) x2